# ZnAgP2

An optimized crystal structure of ZnAgP2 (GGA-PBE, Alexandria via LeMat-Bulk).

Values from the calculation:
* space-group type: R-3m
* V: 68.1 Å³ per cell
* DOS(E_F): 0.654 states/eV/atom
* total magnetization: 0.000 μB/cell
* VASP energy: -3.41 eV per atom

Geometry as POSCAR:
```
ZnAgP2
1.0
1.749 1.010 6.428
-1.749 1.010 6.428
0.000 -2.020 6.428
Zn Ag P
1 1 2
Cartesian
0.000 0.000 0.000
0.000 0.000 9.642
0.000 0.000 4.906
0.000 0.000 14.378
```